A:
4
Lattice="1.2135 -4.8024 0.5572 -1.6260 -2.5370 3.9706 -3.4768 -3.5292 -0.5500" Properties=species:S:1:pos:R:3 comment="NaZr2Ti, optimized geometry, DFT GGA-PBE" sg="Fm-3m, No. 225" pbc="T T T"
Zr -0.9723 -2.7172 0.9944
Ti -1.9447 -5.4343 1.9889
Na 0.0000 0.0000 0.0000
Zr -2.9170 -8.1515 2.9833

B:
8
Lattice="4.1946 0.0000 0.0000 0.0000 4.1946 0.0000 2.0973 2.0973 10.4910" Properties=species:S:1:pos:R:3 comment="NaZr2Ti, optimized geometry, DFT GGA-PBE" sg="I-42d, No. 122" pbc="T T T"
Zr 1.0017 3.1459 2.6228
Zr 3.1929 1.0486 2.6228
Zr 3.1459 3.0990 7.8683
Ti 4.1946 2.0973 5.2455
Na 2.0973 2.0973 0.0000
Ti 0.0000 0.0000 0.0000
Na 2.0973 4.1946 5.2455
Zr 5.2432 5.2902 7.8683

C:
4
Lattice="-0.3637 -1.8742 2.4464 -2.2166 -2.1716 -0.0250 6.4072 -8.7141 -3.7550" Properties=species:S:1:pos:R:3 comment="NaZr2Ti, optimized geometry, DFT GGA-PBE" sg="R-3m, No. 166" pbc="T T T"
Na 0.0000 0.0000 0.0000
Zr -0.4894 -6.1649 1.1088
Ti 1.9134 -6.3799 -0.6668
Zr 4.3163 -6.5949 -2.4424

Short version: B is the least stable of them.